VASP calculation (PBE) on Te2WCl after structural relaxation.

```
4
Lattice="4.331 0.000 0.000 0.000 4.331 0.000 0.000 0.000 5.017" Properties=species:S:1:pos:R:3 pbc="T T T"
Te 0.000 2.166 0.000
Te 2.166 0.000 0.000
W 0.000 0.000 2.509
Cl 2.166 2.166 2.509
```

size of the total moment: 3.103 μB per formula unit
ΔE_f (raw): 1.06 eV per atom
N(E_F): 0.53 states/eV/atom
electronic total energy: -4.2102 eV per atom
space group: P4/mmm (123)

VASP calculation (PBE) on Te2WCl after structural relaxation.

```
4
Lattice="1.638 0.946 11.024 -1.638 0.946 11.024 0.000 -1.892 11.024" Properties=species:S:1:pos:R:3 pbc="T T T"
Te 0.000 0.000 0.000
Te 0.000 0.000 7.554
W 0.000 0.000 24.012
Cl 0.000 0.000 14.733
```

size of the total moment: 0.000 μB per formula unit
ΔE_f (raw): 0.11 eV per atom
N(E_F): 1.03 states/eV/atom
electronic total energy: -5.1648 eV per atom
space group: R3m (160)